--- w ---
The following is a PBE calculation of Pm2Er2Pt3 after structural relaxation, from Alexandria.

```
7
Lattice="-3.8705 1.3139 0.9685 -0.6486 -4.3900 -5.7617 -0.0919 -4.4240 5.5928" Properties=species:S:1:pos:R:3 pbc="T T T"
Pm -2.6271 -4.1115 4.1514
Pm -1.9838 -3.3887 -3.3519
Er -3.7899 -4.8291 0.4877
Er -0.8210 -2.6711 0.3119
Pt 0.0000 0.0000 0.0000
Pt -3.3245 -2.4442 -0.8889
Pt -1.2865 -5.0559 1.6884
```

## Properties
Space-group type: P-1 (2)
Size of the total moment in Bohr magnetons per cell: 0.0
V in Å³/atom: 28.79

***

--- x ---
The following is a PBE calculation of Pm2Er2Pt3 after structural relaxation, from Alexandria.

```
14
Lattice="7.1919 0.0000 -2.5427 -3.5960 6.2284 -2.5427 0.0000 0.0000 7.6282" Properties=species:S:1:pos:R:3 pbc="T T T"
Pm 2.2568 2.3196 1.5958
Pm 0.0000 0.0000 2.8409
Pm 4.0547 0.7946 -0.9470
Pm 4.4764 3.1142 -3.4897
Er 0.0000 0.0000 6.6836
Er 0.4453 5.4571 0.3149
Er -1.3527 3.8855 2.8576
Er 0.9074 3.1142 -2.2279
Pt 3.1086 3.9584 -0.5821
Pt -1.3106 5.3842 -1.9607
Pt 1.7221 4.6713 3.1248
Pt 5.4698 1.5571 1.9607
Pt 2.2096 0.7129 4.5034
Pt -0.4116 2.4013 0.5821
```

## Properties
Space-group type: I2_13 (199)
Size of the total moment in Bohr magnetons per cell: 0.0
V in Å³/atom: 24.41

***

Which of them is most stable, and which least? Most stable: x; least stable: w.

***

--- w ---
The following is a PBE calculation of PmEr2Pt after structural relaxation, from Alexandria.

```
4
Lattice="3.5357 0.0000 0.0000 0.0000 3.5357 0.0000 0.0000 0.0000 8.5906" Properties=species:S:1:pos:R:3 pbc="T T T"
Pm 1.7678 1.7678 4.2953
Pt 1.7678 1.7678 0.0000
Er 0.0000 0.0000 6.9611
Er 0.0000 0.0000 1.6295
```

## Properties
Space-group type: P4/mmm (123)
Size of the total moment in Bohr magnetons per cell: 0.0
V in Å³/atom: 26.85

***

--- x ---
The following is a PBE calculation of PmEr2Pt after structural relaxation, from Alexandria.

```
16
Lattice="6.5190 0.0000 0.0000 0.0000 7.1148 0.0000 0.0000 0.0000 9.5438" Properties=species:S:1:pos:R:3 pbc="T T T"
Pm 4.1175 3.7104 2.3860
Pm 5.6611 0.1530 2.3860
Pm 2.4016 3.4044 7.1579
Pm 0.8579 6.9618 7.1579
Er 1.1353 4.8191 0.5930
Er 2.1242 1.2616 4.1789
Er 5.3837 2.2958 5.3650
Er 4.3948 5.8532 8.9508
Er 5.3837 2.2958 8.9508
Er 4.3948 5.8532 5.3650
Er 1.1353 4.8191 4.1789
Er 2.1242 1.2616 0.5930
Pt 0.4359 2.7431 2.3860
Pt 2.8236 6.3006 2.3860
Pt 6.0831 4.3717 7.1579
Pt 3.6954 0.8143 7.1579
```

## Properties
Space-group type: Pnma (62)
Size of the total moment in Bohr magnetons per cell: 0.0
V in Å³/atom: 27.67

***

Which of them is most stable, and which least? Most stable: x; least stable: w.

***

--- w ---
The following is a PBE calculation of PmErPt2 after structural relaxation, from Alexandria.

```
4
Lattice="3.5146 0.0000 0.0000 0.0000 3.5146 0.0000 0.0000 0.0000 7.0906" Properties=species:S:1:pos:R:3 pbc="T T T"
Pm 1.7573 1.7573 3.5453
Pt 0.0000 0.0000 5.4403
Pt 0.0000 0.0000 1.6502
Er 1.7573 1.7573 0.0000
```

## Properties
Space-group type: P4/mmm (123)
Size of the total moment in Bohr magnetons per cell: 0.0
V in Å³/atom: 21.90

***

--- x ---
The following is a PBE calculation of PmErPt2 after structural relaxation, from Alexandria.

```
4
Lattice="-2.9298 -1.6206 3.7014 -1.9923 -4.5712 -0.2134 1.6208 -3.5751 3.0826" Properties=species:S:1:pos:R:3 pbc="T T T"
Pm 0.0000 0.0000 0.0000
Pt -0.8253 -2.4417 1.6427
Pt -2.4760 -7.3252 4.9280
Er -1.6507 -4.8835 3.2853
```

## Properties
Space-group type: Fm-3m (225)
Size of the total moment in Bohr magnetons per cell: 0.0
V in Å³/atom: 21.98

***

Which of them is most stable, and which least? Most stable: w; least stable: x.

***

--- w ---
The following is a PBE calculation of Pm3ErPt2 after structural relaxation, from Alexandria.

```
12
Lattice="-4.0394 1.5984 -2.1552 1.4664 -4.1314 -5.8125 -4.6619 -6.8257 3.6755" Properties=species:S:1:pos:R:3 pbc="T T T"
Pm -3.5375 -8.2793 0.4899
Pm 1.0568 -4.6918 -5.4605
Pm -1.8543 -3.0019 -4.2066
Pm -5.6915 -5.4808 1.1469
Pm -1.0587 -3.7791 -0.8184
Pm -1.8288 -8.0458 -2.5395
Er -4.0128 -5.2916 -1.8592
Er -3.9397 -2.0453 0.4114
Pt -4.8364 -7.9550 -2.2909
Pt -2.4352 -1.3002 -1.8557
Pt -2.6690 -5.5683 0.8727
Pt -0.4841 -5.5085 -3.1781
```

## Properties
Space-group type: Pmc2_1 (26)
Size of the total moment in Bohr magnetons per cell: 0.0
V in Å³/atom: 26.61

***

--- x ---
The following is a PBE calculation of Pm3ErPt2 after structural relaxation, from Alexandria.

```
12
Lattice="6.9951 0.0000 0.0000 0.0000 7.2626 0.0000 -3.4975 -3.6313 6.9586" Properties=species:S:1:pos:R:3 pbc="T T T"
Pm 3.4975 1.8157 0.0000
Pm 3.4975 5.4470 0.0000
Pm 3.4976 -1.8157 3.7032
Pm 0.0000 1.8157 3.2553
Pm 0.0000 5.4470 3.2553
Pm 3.4976 1.8157 3.7032
Er 0.0000 3.6313 0.0000
Er 0.0000 0.0000 0.0000
Pt 1.4928 0.0000 5.0410
Pt 4.9903 0.0000 1.9176
Pt -1.4928 3.6313 5.0410
Pt 2.0048 3.6313 1.9176
```

## Properties
Space-group type: Ibam (72)
Size of the total moment in Bohr magnetons per cell: 0.0
V in Å³/atom: 29.46

***

Which of them is most stable, and which least? Most stable: w; least stable: x.

***

--- w ---
The following is a PBE calculation of PmErRuPt after structural relaxation, from Alexandria.

```
4
Lattice="4.9161 0.0000 0.0000 2.4580 4.2574 0.0000 2.4580 1.4191 4.0139" Properties=species:S:1:pos:R:3 pbc="T T T"
Ru 7.3741 4.2574 3.0105
Pm 0.0000 0.0000 0.0000
Pt 2.4580 1.4191 1.0035
Er 4.9161 2.8383 2.0070
```

## Properties
Space-group type: F-43m (216)
Size of the total moment in Bohr magnetons per cell: 0.0
V in Å³/atom: 21.00

***

--- x ---
The following is a PBE calculation of PmErRuPt after structural relaxation, from Alexandria.

```
4
Lattice="-1.5957 -2.6226 -1.6353 2.0596 0.4699 -2.7633 4.6016 -4.4650 2.6705" Properties=species:S:1:pos:R:3 pbc="T T T"
Pm 0.7580 -1.5868 -1.8940
Er 3.0082 -3.7702 -0.5882
Ru 1.6975 -1.6471 0.9851
Pt 3.8719 -3.7570 2.2470
```

## Properties
Space-group type: P4mm (99)
Size of the total moment in Bohr magnetons per cell: 0.0
V in Å³/atom: 21.01

***

Which of them is most stable, and which least? Most stable: x; least stable: w.

***

--- w ---
The following is a PBE calculation of PmErZnPt after structural relaxation, from Alexandria.

```
4
Lattice="5.0301 0.0000 0.0000 2.5151 4.3562 0.0000 2.5151 1.4521 4.1071" Properties=species:S:1:pos:R:3 pbc="T T T"
Zn 2.5151 1.4521 1.0268
Pm 0.0000 0.0000 0.0000
Pt 7.5452 4.3562 3.0803
Er 5.0301 2.9041 2.0535
```

## Properties
Space-group type: F-43m (216)
Size of the total moment in Bohr magnetons per cell: 0.0
V in Å³/atom: 22.50

***

--- x ---
The following is a PBE calculation of PmErZnPt after structural relaxation, from Alexandria.

```
4
Lattice="3.8718 0.0000 0.0000 0.0000 4.4449 0.0000 -1.9359 0.0000 5.4312" Properties=species:S:1:pos:R:3 pbc="T T T"
Pm 1.9359 2.2225 3.8796
Er 0.0000 0.0000 1.5094
Zn 0.0000 0.0000 4.6362
Pt 1.9359 2.2225 0.8372
```

## Properties
Space-group type: Amm2 (38)
Size of the total moment in Bohr magnetons per cell: 0.0
V in Å³/atom: 23.37

***

Which of them is most stable, and which least? Most stable: x; least stable: w.

***

--- w ---
The following is a PBE calculation of PmErPu2 after structural relaxation, from Alexandria.

```
4
Lattice="-3.4683 -3.8355 -1.9087 1.3281 -5.3380 0.3541 -2.6884 -3.2814 3.5198" Properties=species:S:1:pos:R:3 pbc="T T T"
Er 0.0000 0.0000 0.0000
Pm -2.4143 -6.2274 0.9826
Pu -1.2071 -3.1137 0.4913
Pu -3.6214 -9.3412 1.4739
```

## Properties
Space-group type: Fm-3m (225)
Size of the total moment in Bohr magnetons per cell: 12.7
V in Å³/atom: 29.61

***

--- x ---
The following is a PBE calculation of PmErPu2 after structural relaxation, from Alexandria.

```
4
Lattice="5.0477 0.0000 0.0000 0.0000 4.8395 0.0000 0.0000 0.0000 4.8395" Properties=species:S:1:pos:R:3 pbc="T T T"
Er 2.5238 2.4198 2.4198
Pm 2.5238 0.0000 0.0000
Pu 0.0000 0.0000 2.4198
Pu 0.0000 2.4198 0.0000
```

## Properties
Space-group type: P4/mmm (123)
Size of the total moment in Bohr magnetons per cell: 12.5
V in Å³/atom: 29.56

***

--- y ---
The following is a PBE calculation of PmErPu2 after structural relaxation, from Alexandria.

```
4
Lattice="-2.5518 -0.8815 -2.1031 -1.1004 -2.2884 2.2943 -5.9095 7.0627 4.2101" Properties=species:S:1:pos:R:3 pbc="T T T"
Er -4.7808 1.9464 2.2007
Pm -1.8261 -1.5849 0.0956
Pu -4.4017 5.2607 3.1360
Pu -1.5077 1.8020 1.0742
```

## Properties
Space-group type: P4/mmm (123)
Size of the total moment in Bohr magnetons per cell: 12.8
V in Å³/atom: 29.65

***

Which of them is most stable, and which least? Most stable: y; least stable: w.

***

--- w ---
The following is a PBE calculation of Pm2ErPu after structural relaxation, from Alexandria.

```
4
Lattice="5.6521 0.0000 0.0000 2.8260 4.8948 0.0000 2.8260 1.6316 4.6149" Properties=species:S:1:pos:R:3 pbc="T T T"
Er 5.6521 3.2632 2.3074
Pm 2.8260 1.6316 1.1537
Pm 8.4781 4.8948 3.4612
Pu 0.0000 0.0000 0.0000
```

## Properties
Space-group type: Fm-3m (225)
Size of the total moment in Bohr magnetons per cell: 7.5
V in Å³/atom: 31.92

***

--- x ---
The following is a PBE calculation of Pm2ErPu after structural relaxation, from Alexandria.

```
4
Lattice="-1.5443 -2.6176 -1.8206 3.1554 -0.9639 -1.2906 1.3080 -6.2342 7.8537" Properties=species:S:1:pos:R:3 pbc="T T T"
Er 1.4596 -4.9078 2.3712
Pm 0.9849 -4.6944 5.9138
Pm 0.3231 -1.5399 1.9399
Pu 0.8056 -1.7907 -1.5556
```

## Properties
Space-group type: P4/mmm (123)
Size of the total moment in Bohr magnetons per cell: 6.1
V in Å³/atom: 31.73

***

--- y ---
The following is a PBE calculation of Pm2ErPu after structural relaxation, from Alexandria.

```
4
Lattice="3.5818 0.0000 0.0000 1.7909 3.1019 0.0000 1.7909 1.0340 11.4918" Properties=species:S:1:pos:R:3 pbc="T T T"
Pm 1.7909 1.0340 8.6394
Pm 1.7909 1.0340 2.8558
Er 3.5818 2.0679 5.7415
Pu 3.5818 2.0679 0.0010
```

## Properties
Space-group type: R3m (160)
Size of the total moment in Bohr magnetons per cell: 6.0
V in Å³/atom: 31.92

***

Which of them is most stable, and which least? Most stable: x; least stable: w.